Record 1
# Ce5SmSb6

A geometry-optimized Ce5SmSb6 structure (PBE, Alexandria via LeMat-Bulk).

Electronic total energy in eV per cell: -71.90
Calculated volume in A^3/atom: 32.1
Symmetry: C2/m, No. 12

Cell lengths 7.7810, 7.7900, 7.7887 Å; angles 59.99, 80.40, 70.52 degrees
Last column: nearest neighbours and their distance in Å.
Fractional coordinates of all 12 atoms:
1 Sb 0.7504 0.4163 0.6669  1 Sm 3.18, 5 Ce 3.18
2 Sb 0.7504 0.0831 0.3331  1 Sm 3.18, 5 Ce 3.18
3 Sb 0.7496 0.7504 0.0000  5 Ce 3.18, 1 Sm 3.18
4 Sb 0.2496 0.9169 0.6669  1 Sm 3.18, 5 Ce 3.18
5 Sb 0.2504 0.2496 0.0000  5 Ce 3.18, 1 Sm 3.18
6 Sb 0.2496 0.5837 0.3331  1 Sm 3.18, 5 Ce 3.18
7 Ce 0.5000 0.8330 0.3339  6 Sb 3.18
8 Ce 0.5000 0.1670 0.6661  6 Sb 3.18
9 Ce 0.5000 0.5000 0.0000  6 Sb 3.18
10 Ce 0.0000 0.3335 0.3331  6 Sb 3.18
11 Ce 0.0000 0.6665 0.6669  6 Sb 3.18
12 Sm 0.0000 0.0000 0.0000  6 Sb 3.18

Record 2
# CrBiI6

A geometry-optimized CrBiI6 structure (PBE, Alexandria via LeMat-Bulk).

Electronic total energy in eV per cell: -25.36
Calculated volume in A^3/atom: 38.3
Symmetry: R-3, No. 148

Cell lengths 7.3192, 7.3192, 7.8462 Å; angles 62.19, 62.19, 59.99 degrees
Last column: nearest neighbours and their distance in Å.
Fractional coordinates of all 8 atoms:
1 I 0.6028 0.2251 0.2346  1 Cr 2.76
2 I 0.2251 0.9376 0.2345  1 Cr 2.76
3 I 0.3972 0.7749 0.7654  1 Cr 2.76
4 I 0.0624 0.3972 0.7654  1 Cr 2.76
5 I 0.9376 0.6028 0.2346  1 Cr 2.76
6 I 0.7749 0.0624 0.7655  1 Cr 2.76
7 Cr 0.0000 0.0000 0.0000  6 I 2.76
8 Bi 0.5000 0.5000 0.5000  6 I 3.14

Record 3
# LiCaNp2O8

A geometry-optimized LiCaNp2O8 structure (PBE, Alexandria via LeMat-Bulk).

Electronic total energy in eV per cell: -101.80
Calculated volume in A^3/atom: 14.2
Symmetry: C2/m, No. 12

Cell lengths 4.9490, 4.9529, 6.9631 Å; angles 88.95, 88.95, 86.67 degrees
Last column: nearest neighbours and their distance in Å.
Fractional coordinates of all 12 atoms:
1 Np 0.5010 0.5010 0.2456  4 O 1.90-2.10
2 Np 0.4990 0.4990 0.7544  4 O 1.90-2.10
3 O 0.2215 0.7797 0.2414  1 Np 1.90
4 O 0.7787 0.2206 0.2415  1 Np 1.90
5 O 0.3231 0.3241 0.9908  2 Np 2.05-2.21
6 O 0.3236 0.3247 0.4904  2 Np 2.10-2.25, 1 Ca 2.33
7 O 0.6769 0.6759 0.0092  2 Np 2.05-2.21
8 O 0.7785 0.2203 0.7586  1 Np 1.90
9 O 0.2213 0.7794 0.7585  1 Np 1.90
10 O 0.6764 0.6753 0.5096  2 Np 2.10-2.25, 1 Ca 2.33
11 Li 0.0000 0.0000 0.0000  6 O 2.25-2.33
12 Ca 0.0000 0.0000 0.5000  6 O 2.33-2.34

Record 4
# ScNbPb2O6

A geometry-optimized ScNbPb2O6 structure (PBE, Alexandria via LeMat-Bulk).

Electronic total energy in eV per cell: -75.86
Calculated volume in A^3/atom: 13.9
Symmetry: Fm-3m, No. 225

Cell lengths 5.8145, 5.8145, 5.8150 Å; angles 120.00, 120.00, 89.99 degrees
Last column: nearest neighbours and their distance in Å.
Fractional coordinates of all 10 atoms:
1 O 0.2448 0.2448 0.9999  1 Nb 2.01, 1 Sc 2.10
2 O 0.7552 0.2448 0.0000  1 Nb 2.01, 1 Sc 2.10
3 O 0.2448 0.2448 0.4896  1 Nb 2.01, 1 Sc 2.10
4 O 0.2448 0.7552 0.0000  1 Nb 2.01, 1 Sc 2.10
5 O 0.7552 0.7552 0.0001  1 Nb 2.01, 1 Sc 2.10
6 O 0.7552 0.7552 0.5104  1 Nb 2.01, 1 Sc 2.10
7 Sc 0.5000 0.5000 0.0000  6 O 2.10
8 Pb 0.2500 0.7501 0.5000  12 O 2.91
9 Pb 0.7500 0.2500 0.5000  12 O 2.91
10 Nb 0.0000 0.0000 0.0000  6 O 2.01

Record 5
# TlCrAu2N

A geometry-optimized TlCrAu2N structure (PBE, Alexandria via LeMat-Bulk).

Electronic total energy in eV per cell: -19.45
Calculated volume in A^3/atom: 24.1
Symmetry: P4/mmm, No. 123

Cell lengths 5.3546, 5.3546, 4.2111 Å; angles 90.00, 90.00, 90.00 degrees
Last column: nearest neighbours and their distance in Å.
Fractional coordinates of all 5 atoms:
1 Au 0.5000 0.0000 0.0000  2 Tl 2.68
2 Au 0.0000 0.5000 0.0000  2 Tl 2.68
3 Tl 0.0000 0.0000 0.0000  2 N 2.11
4 N 0.0000 0.0000 0.5000  2 Tl 2.11
5 Cr 0.5000 0.5000 0.5000  8 Au 3.41, 4 N 3.79

Record 6
# AcPrSnRu

A geometry-optimized AcPrSnRu structure (PBE, Alexandria via LeMat-Bulk).

Calculated volume in A^3/atom: 28.0
Symmetry: F-43m, No. 216
ΔE_f in eV/f.u.: -0.66

Cell lengths 5.4093, 5.4093, 5.4093 Å; angles 60.00, 60.00, 60.00 degrees
Last column: nearest neighbours and their distance in Å.
Fractional coordinates of all 4 atoms:
1 Pr 0.5000 0.5000 0.5000  4 Ru 3.31, 4 Sn 3.31
2 Sn 0.2500 0.2500 0.2500  4 Ac 3.31, 4 Pr 3.31
3 Ac 0.0000 0.0000 0.0000  4 Sn 3.31, 4 Ru 3.31
4 Ru 0.7500 0.7500 0.7500  4 Ac 3.31, 4 Pr 3.31

Record 7
# MoAsW3

A geometry-optimized MoAsW3 structure (PBE, Alexandria via LeMat-Bulk).

Polymorph energy (0 for the lowest one) in meV per atom: 0
Calculated volume in A^3/atom: 18.8
Symmetry: Pm-3m, No. 221
ΔE_f in eV/f.u.: 8.25

Cell lengths 4.5485, 4.5485, 4.5485 Å; angles 90.00, 90.00, 90.00 degrees
Last column: nearest neighbours and their distance in Å.
Fractional coordinates of all 5 atoms:
1 W 0.0000 0.0000 0.5000  2 As 2.27
2 W 0.5000 0.0000 0.0000  2 As 2.27
3 W 0.0000 0.5000 0.0000  2 As 2.27
4 Mo 0.5000 0.5000 0.5000  12 W 3.22
5 As 0.0000 0.0000 0.0000  6 W 2.27

Record 8
# HfZn2Ni3

A geometry-optimized HfZn2Ni3 structure (PBE, Alexandria via LeMat-Bulk).

Calculated volume in A^3/atom: 13.4
Symmetry: P-3m1, No. 164
ΔE_f in eV/f.u.: -2.08

Cell lengths 4.2203, 4.2203, 10.4295 Å; angles 90.00, 90.00, 120.00 degrees
Last column: nearest neighbours and their distance in Å.
Fractional coordinates of all 12 atoms:
1 Ni 0.6667 0.3333 0.0792  7 Zn 2.52-2.59, 1 Hf 2.59
2 Ni 0.3333 0.6667 0.4191  4 Zn 2.58-2.67, 4 Hf 2.62-2.64
3 Ni 0.0000 0.0000 0.7654  4 Zn 2.45-2.55, 3 Hf 2.62
4 Ni 0.0000 0.0000 0.2346  4 Zn 2.45-2.55, 3 Hf 2.62
5 Ni 0.6667 0.3333 0.5809  4 Zn 2.58-2.67, 4 Hf 2.62-2.64
6 Ni 0.3333 0.6667 0.9208  7 Zn 2.52-2.59, 1 Hf 2.59
7 Zn 0.0000 0.0000 0.0000  8 Ni 2.45-2.57
8 Zn 0.6667 0.3333 0.8372  8 Ni 2.52-2.67
9 Zn 0.0000 0.0000 0.5000  8 Ni 2.58-2.77
10 Zn 0.3333 0.6667 0.1628  8 Ni 2.52-2.67
11 Hf 0.3333 0.6667 0.6723  8 Ni 2.59-2.64
12 Hf 0.6667 0.3333 0.3277  8 Ni 2.59-2.64